{"formula": "BaInTc2", "functional": "PBE-GGA", "state": "optimized geometry", "space_group": "No. 122", "magnetic_moment_mub_per_cell": 8.0, "ef_kj_per_mol_atoms": 125.4, "lattice": [[-4.0163, 4.0163, 3.1070], [4.0163, -4.0163, 3.1070], [4.0163, 4.0163, -3.1070]], "species": ["Ba", "Ba", "In", "In", "Tc", "Tc", "Tc", "Tc"], "frac_coords": [[0.0000, 0.0000, 0.0000], [0.7500, 0.2500, 0.5000], [0.2500, 0.7500, 0.5000], [0.5000, 0.5000, 0.0000], [0.1661, 0.6250, 0.0411], [0.3750, 0.4161, 0.5411], [0.5839, 0.1250, 0.9589], [0.8750, 0.8339, 0.4589]]}